# 1
The following is a PBE calculation of a geometry-optimized Na3B5C structure, from Alexandria.

a = 2.824 Å, b = 15.967 Å, c = 8.671 Å
α = 90.00°, β = 90.00°, γ = 90.00°
Space group Cmcm (No. 63)
Unique sites:
Na 0.000 0.000 0.000 [4 per cell]
Na 0.000 0.333 0.000 [8 per cell]
B 0.000 0.105 0.250 [4 per cell]
B 0.000 0.113 0.750 [4 per cell]
B 0.000 0.214 0.250 [4 per cell]
B 0.000 0.218 0.750 [4 per cell]
B 0.000 0.456 0.250 [4 per cell]
C 0.000 0.446 0.750 [4 per cell]

Properties
- DFT formation energy (eV/atom) = 0.192
- total moment (μB per formula unit) = 0.0

# 2
The following is a PBE calculation of a geometry-optimized Na5B8C2 structure, from Alexandria.

a = 8.654 Å, b = 14.554 Å, c = 5.138 Å
α = 90.00°, β = 90.00°, γ = 90.00°
Space group Amm2 (No. 38)
Unique sites:
Na 0.245 0.000 0.000 [4 per cell]
Na 0.249 0.100 0.501 [8 per cell]
Na 0.252 0.200 0.000 [8 per cell]
B 0.000 0.000 0.329 [2 per cell]
B 0.000 0.000 0.675 [2 per cell]
B 0.000 0.102 0.167 [4 per cell]
B 0.000 0.109 0.820 [4 per cell]
B 0.000 0.206 0.341 [4 per cell]
B 0.500 0.000 0.346 [2 per cell]
B 0.500 0.000 0.677 [2 per cell]
B 0.500 0.096 0.135 [4 per cell]
B 0.500 0.195 0.673 [4 per cell]
B 0.500 0.197 0.341 [4 per cell]
C 0.000 0.202 0.660 [4 per cell]
C 0.500 0.097 0.833 [4 per cell]

Properties
- DFT formation energy (eV/atom) = 0.203
- total moment (μB per formula unit) = 0.0

# 3
The following is a PBE calculation of a geometry-optimized Na2B3C structure, from Alexandria.

a = 8.654 Å, b = 14.027 Å, c = 5.221 Å
α = 90.00°, β = 90.00°, γ = 90.00°
Space group Amm2 (No. 38)
Unique sites:
Na 0.246 0.200 0.000 [8 per cell]
Na 0.249 0.100 0.502 [8 per cell]
Na 0.251 0.000 0.994 [4 per cell]
B 0.000 0.000 0.352 [2 per cell]
B 0.000 0.000 0.679 [2 per cell]
B 0.000 0.095 0.133 [4 per cell]
B 0.000 0.195 0.345 [4 per cell]
B 0.000 0.197 0.672 [4 per cell]
B 0.500 0.000 0.368 [2 per cell]
B 0.500 0.097 0.149 [4 per cell]
B 0.500 0.101 0.819 [4 per cell]
B 0.500 0.203 0.349 [4 per cell]
C 0.000 0.098 0.836 [4 per cell]
C 0.500 0.000 0.660 [2 per cell]
C 0.500 0.202 0.661 [4 per cell]

Properties
- DFT formation energy (eV/atom) = 0.171
- total moment (μB per formula unit) = 0.0

# 4
The following is a PBE calculation of a geometry-optimized Na2B3C structure, from Alexandria.

a = 8.640 Å, b = 2.812 Å, c = 26.109 Å
α = 90.00°, β = 90.00°, γ = 90.00°
Space group Amm2 (No. 38)
Unique sites:
Na 0.248 0.000 0.000 [4 per cell]
Na 0.249 0.000 0.599 [4 per cell]
Na 0.250 0.000 0.199 [4 per cell]
Na 0.250 0.000 0.801 [4 per cell]
Na 0.252 0.000 0.401 [4 per cell]
B 0.000 0.000 0.064 [2 per cell]
B 0.000 0.000 0.270 [2 per cell]
B 0.000 0.000 0.335 [2 per cell]
B 0.000 0.000 0.470 [2 per cell]
B 0.000 0.000 0.658 [2 per cell]
B 0.000 0.000 0.726 [2 per cell]
B 0.000 0.000 0.878 [2 per cell]
B 0.500 0.000 0.064 [2 per cell]
B 0.500 0.000 0.127 [2 per cell]
B 0.500 0.000 0.274 [2 per cell]
B 0.500 0.000 0.341 [2 per cell]
B 0.500 0.000 0.523 [2 per cell]
B 0.500 0.000 0.670 [2 per cell]
B 0.500 0.000 0.734 [2 per cell]
B 0.500 0.000 0.933 [2 per cell]
C 0.000 0.000 0.127 [2 per cell]
C 0.000 0.000 0.532 [2 per cell]
C 0.000 0.000 0.938 [2 per cell]
C 0.500 0.000 0.463 [2 per cell]
C 0.500 0.000 0.871 [2 per cell]

Properties
- DFT formation energy (eV/atom) = 0.150
- total moment (μB per formula unit) = 0.0